Record 1
DFT (PBE) results for a geometry-optimized LiTaTl2 structure.

CIF file:
```
data_LiTaTl2
_space_group_name_H-M_alt 'I -4 m 2'
_space_group_IT_number 119
_space_group_name_Hall 'I -4 -2'
_cell_length_a 4.063
_cell_length_b 4.063
_cell_length_c 10.181
_cell_angle_alpha 90.00
_cell_angle_beta 90.00
_cell_angle_gamma 90.00
loop_
_atom_site_label
_atom_site_type_symbol
_atom_site_fract_x
_atom_site_fract_y
_atom_site_fract_z
Li1 Li 0.000 0.000 0.000
Ta1 Ta 0.000 0.500 0.750
Tl1 Tl 0.000 0.000 0.500
Tl2 Tl 0.000 0.500 0.250
```

Values from the calculation:
crystal system: tetragonal
energy relative to the elements: 0.46 eV per atom
calculated total energy: -4.16 eV per atom


Record 2
DFT (PBE) results for a geometry-optimized LiTaTl2 structure.

CIF file:
```
data_LiTaTl2
_space_group_name_H-M_alt 'P 1 2/m 1'
_space_group_IT_number 10
_cell_length_a 5.198
_cell_length_b 3.071
_cell_length_c 5.825
_cell_angle_alpha 90.00
_cell_angle_beta 112.50
_cell_angle_gamma 90.00
loop_
_space_group_symop_operation_xyz
'x,y,z'
'-x,-y,-z'
'-x,y,-z'
'x,-y,z'
loop_
_atom_site_label
_atom_site_type_symbol
_atom_site_fract_x
_atom_site_fract_y
_atom_site_fract_z
Li1 Li 0.000 0.000 0.000
Ta1 Ta 0.500 0.500 0.500
Tl1 Tl 0.000 0.000 0.500
Tl2 Tl 0.500 0.500 0.000
```

Values from the calculation:
crystal system: monoclinic
energy relative to the elements: 0.33 eV per atom
calculated total energy: -4.29 eV per atom


Record 3
DFT (PBE) results for a geometry-optimized LiTaTl2 structure.

CIF file:
```
data_LiTaTl2
_space_group_name_H-M_alt 'R -3 m'
_space_group_IT_number 166
_space_group_name_Hall '-R 3 2"'
_cell_length_a 3.1672
_cell_length_b 3.1672
_cell_length_c 29.2500
_cell_angle_alpha 90.00
_cell_angle_beta 90.00
_cell_angle_gamma 120.00
loop_
_atom_site_label
_atom_site_type_symbol
_atom_site_fract_x
_atom_site_fract_y
_atom_site_fract_z
Li1 Li 0.0000 0.0000 0.0000
Ta1 Ta 0.0000 0.0000 0.5000
Tl1 Tl 0.0000 0.0000 0.2536
```

Values from the calculation:
crystal system: trigonal
energy relative to the elements: 0.27 eV per atom
calculated total energy: -4.36 eV per atom


Record 4
DFT (PBE) results for a geometry-optimized LiTm2Ta structure.

CIF file:
```
data_LiTm2Ta
_space_group_name_H-M_alt 'R -3 m'
_space_group_IT_number 166
_space_group_name_Hall '-R 3 2"'
_cell_length_a 3.1148
_cell_length_b 3.1148
_cell_length_c 34.5931
_cell_angle_alpha 90.00
_cell_angle_beta 90.00
_cell_angle_gamma 120.00
loop_
_atom_site_label
_atom_site_type_symbol
_atom_site_fract_x
_atom_site_fract_y
_atom_site_fract_z
Li1 Li 0.0000 0.0000 0.0000
Tm1 Tm 0.0000 0.0000 0.4151
Ta1 Ta 0.0000 0.0000 0.5000
```

Values from the calculation:
crystal system: trigonal
energy relative to the elements: 0.59 eV per atom
calculated total energy: -5.09 eV per atom


Record 5
DFT (PBE) results for a geometry-optimized Li2TaV structure.

CIF file:
```
data_Li2TaV
_space_group_name_H-M_alt 'F m -3 m'
_space_group_IT_number 225
_space_group_name_Hall '-F 4 2 3'
_cell_length_a 6.081
_cell_length_b 6.081
_cell_length_c 6.081
_cell_angle_alpha 90.00
_cell_angle_beta 90.00
_cell_angle_gamma 90.00
loop_
_atom_site_label
_atom_site_type_symbol
_atom_site_fract_x
_atom_site_fract_y
_atom_site_fract_z
Li1 Li 0.250 0.250 0.250
Ta1 Ta 0.000 0.000 0.000
V1 V 0.000 0.000 0.500
```

Values from the calculation:
crystal system: cubic
relative energy among the computed polymorphs: 0 meV/atom
energy relative to the elements: 0.76 eV per atom
calculated total energy: -5.44 eV per atom


Record 6
DFT (PBE) results for a geometry-optimized Li2Ta2V structure.

CIF file:
```
data_Li2Ta2V
_space_group_name_H-M_alt 'P 4/m b m'
_space_group_IT_number 127
_space_group_name_Hall '-P 4 2ab'
_cell_length_a 7.315
_cell_length_b 7.315
_cell_length_c 2.883
_cell_angle_alpha 90.00
_cell_angle_beta 90.00
_cell_angle_gamma 90.00
loop_
_atom_site_label
_atom_site_type_symbol
_atom_site_fract_x
_atom_site_fract_y
_atom_site_fract_z
Li1 Li 0.162 0.338 0.000
Ta1 Ta 0.140 0.640 0.500
V1 V 0.000 0.000 0.500
```

Values from the calculation:
crystal system: tetragonal
relative energy among the computed polymorphs: 258 meV/atom
energy relative to the elements: 0.82 eV per atom
calculated total energy: -6.51 eV per atom


Record 7
DFT (PBE) results for a geometry-optimized Li3TaV structure.

CIF file:
```
data_Li3TaV
_space_group_name_H-M_alt 'P m -3 m'
_space_group_IT_number 221
_space_group_name_Hall '-P 4 2 3'
_cell_length_a 4.356
_cell_length_b 4.356
_cell_length_c 4.356
_cell_angle_alpha 90.00
_cell_angle_beta 90.00
_cell_angle_gamma 90.00
loop_
_atom_site_label
_atom_site_type_symbol
_atom_site_fract_x
_atom_site_fract_y
_atom_site_fract_z
Li1 Li 0.000 0.000 0.500
Ta1 Ta 0.500 0.500 0.500
V1 V 0.000 0.000 0.000
```

Values from the calculation:
crystal system: cubic
relative energy among the computed polymorphs: 0 meV/atom
energy relative to the elements: 1.44 eV per atom
calculated total energy: -3.90 eV per atom


Record 8
DFT (PBE) results for a geometry-optimized Li2Ta2V structure.

CIF file:
```
data_Li2Ta2V
_space_group_name_H-M_alt 'I 4/m m m'
_space_group_IT_number 139
_space_group_name_Hall '-I 4 2'
_cell_length_a 3.151
_cell_length_b 3.151
_cell_length_c 16.716
_cell_angle_alpha 90.00
_cell_angle_beta 90.00
_cell_angle_gamma 90.00
loop_
_atom_site_label
_atom_site_type_symbol
_atom_site_fract_x
_atom_site_fract_y
_atom_site_fract_z
Li1 Li 0.000 0.500 0.250
Ta1 Ta 0.000 0.000 0.090
V1 V 0.000 0.000 0.500
```

Values from the calculation:
crystal system: tetragonal
relative energy among the computed polymorphs: 0 meV/atom
energy relative to the elements: 0.56 eV per atom
calculated total energy: -6.77 eV per atom


Record 9
DFT (PBE) results for a geometry-optimized Li2TaV structure.

CIF file:
```
data_Li2TaV
_space_group_name_H-M_alt 'I -4 2 d'
_space_group_IT_number 122
_space_group_name_Hall 'I -4 2bw'
_cell_length_a 7.108
_cell_length_b 7.108
_cell_length_c 4.830
_cell_angle_alpha 90.00
_cell_angle_beta 90.00
_cell_angle_gamma 90.00
loop_
_atom_site_label
_atom_site_type_symbol
_atom_site_fract_x
_atom_site_fract_y
_atom_site_fract_z
Li1 Li 0.233 0.250 0.125
Ta1 Ta 0.000 0.000 0.500
V1 V 0.000 0.000 0.000
```

Values from the calculation:
crystal system: tetragonal
relative energy among the computed polymorphs: 81 meV/atom
energy relative to the elements: 0.84 eV per atom
calculated total energy: -5.36 eV per atom


Record 10
DFT (PBE) results for a geometry-optimized LiTa3W structure.

CIF file:
```
data_LiTa3W
_space_group_name_H-M_alt 'P m -3 m'
_space_group_IT_number 221
_space_group_name_Hall '-P 4 2 3'
_cell_length_a 4.918
_cell_length_b 4.918
_cell_length_c 4.918
_cell_angle_alpha 90.00
_cell_angle_beta 90.00
_cell_angle_gamma 90.00
loop_
_atom_site_label
_atom_site_type_symbol
_atom_site_fract_x
_atom_site_fract_y
_atom_site_fract_z
Li1 Li 0.000 0.000 0.000
Ta1 Ta 0.000 0.500 0.500
W1 W 0.500 0.500 0.500
```

Values from the calculation:
crystal system: cubic
relative energy among the computed polymorphs: 249 meV/atom
energy relative to the elements: 1.48 eV per atom
calculated total energy: -8.61 eV per atom


Record 11
DFT (PBE) results for a geometry-optimized Li2Ta2W structure.

CIF file:
```
data_Li2Ta2W
_space_group_name_H-M_alt 'I 4/m m m'
_space_group_IT_number 139
_space_group_name_Hall '-I 4 2'
_cell_length_a 3.255
_cell_length_b 3.255
_cell_length_c 16.692
_cell_angle_alpha 90.00
_cell_angle_beta 90.00
_cell_angle_gamma 90.00
loop_
_atom_site_label
_atom_site_type_symbol
_atom_site_fract_x
_atom_site_fract_y
_atom_site_fract_z
Li1 Li 0.000 0.500 0.250
Ta1 Ta 0.000 0.000 0.090
W1 W 0.000 0.000 0.500
```

Values from the calculation:
crystal system: tetragonal
relative energy among the computed polymorphs: 0 meV/atom
energy relative to the elements: 0.58 eV per atom
calculated total energy: -7.52 eV per atom


Record 12
DFT (PBE) results for a geometry-optimized Li2Ta2W structure.

CIF file:
```
data_Li2Ta2W
_space_group_name_H-M_alt 'P 4/m b m'
_space_group_IT_number 127
_space_group_name_Hall '-P 4 2ab'
_cell_length_a 7.346
_cell_length_b 7.346
_cell_length_c 2.869
_cell_angle_alpha 90.00
_cell_angle_beta 90.00
_cell_angle_gamma 90.00
loop_
_atom_site_label
_atom_site_type_symbol
_atom_site_fract_x
_atom_site_fract_y
_atom_site_fract_z
Li1 Li 0.165 0.335 0.000
Ta1 Ta 0.138 0.638 0.500
W1 W 0.000 0.000 0.500
```

Values from the calculation:
crystal system: tetragonal
relative energy among the computed polymorphs: 195 meV/atom
energy relative to the elements: 0.77 eV per atom
calculated total energy: -7.32 eV per atom


- Look up the energy relative to the elements of the twelfth one.
  0.77 eV per atom


Please write out number 1 again, unchanged.
DFT (PBE) results for a geometry-optimized LiTaTl2 structure.

CIF file:
```
data_LiTaTl2
_space_group_name_H-M_alt 'I -4 m 2'
_space_group_IT_number 119
_space_group_name_Hall 'I -4 -2'
_cell_length_a 4.063
_cell_length_b 4.063
_cell_length_c 10.181
_cell_angle_alpha 90.00
_cell_angle_beta 90.00
_cell_angle_gamma 90.00
loop_
_atom_site_label
_atom_site_type_symbol
_atom_site_fract_x
_atom_site_fract_y
_atom_site_fract_z
Li1 Li 0.000 0.000 0.000
Ta1 Ta 0.000 0.500 0.750
Tl1 Tl 0.000 0.000 0.500
Tl2 Tl 0.000 0.500 0.250
```

Values from the calculation:
crystal system: tetragonal
energy relative to the elements: 0.46 eV per atom
calculated total energy: -4.16 eV per atom